Record 1
Below is a relaxed BaHfZrTl2 crystal, with properties calculated at the GGA-PBE level.

abc: 5.776 5.776 5.160
angles: 90.00 90.00 90.00
Space group P4/mmm (No. 123)
One atom of each set of equivalent atoms:
Ba: 0.000 0.000 0.000 x1
Hf: 0.500 0.500 0.000 x1
Zr: 0.500 0.500 0.500 x1
Tl: 0.000 0.500 0.500 x2

Summary:
density of states at the Fermi level	5.71	states/eV/cell
DFT total energy	-4.67	eV/atom
ΔH_f (0 K)	360	meV/atom


Record 2
Below is a relaxed LaZn8Pt4 crystal, with properties calculated at the GGA-PBE level.

abc: 8.883 8.883 5.505
angles: 90.00 90.00 90.00
Space group I4/mmm (No. 139)
One atom of each set of equivalent atoms:
La: 0.000 0.000 0.000 x2
Zn: 0.000 0.220 0.500 x8
Zn: 0.000 0.351 0.000 x8
Pt: 0.250 0.250 0.250 x8

Summary:
density of states at the Fermi level	14.12	states/eV/cell
DFT total energy	-3.55	eV/atom
ΔH_f (0 K)	-526	meV/atom


Record 3
Below is a relaxed KYNi crystal, with properties calculated at the GGA-PBE level.

abc: 6.989 6.989 6.989
angles: 90.00 90.00 90.00
Space group F-43m (No. 216)
One atom of each set of equivalent atoms:
K: 0.000 0.000 0.000 x4
Y: 0.000 0.000 0.500 x4
Ni: 0.250 0.250 0.250 x4

Summary:
density of states at the Fermi level	2.12	states/eV/cell
DFT total energy	-3.92	eV/atom
ΔH_f (0 K)	530	meV/atom